Material: PmHoNi10
Method: DFT, PBE-GGA
State: optimized geometry

Properties
- calculated volume (Å³ per atom) = 13.75
- formation enthalpy at 0 K (meV per atom) = -311
- Fermi-level density of states (states/eV/cell) = 13.8

```
data_PmHoNi10
_chemical_formula_sum 'Pm1 Ho1 Ni10'
_space_group_name_H-M_alt 'P m m m'
_space_group_IT_number 47
_cell_length_a 3.959
_cell_length_b 4.908
_cell_length_c 8.490
_cell_angle_alpha 90.00
_cell_angle_beta 90.00
_cell_angle_gamma 90.00
loop_
_space_group_symop_operation_xyz
'x,y,z'
'-x,-y,-z'
'-x,-y,z'
'x,y,-z'
'x,-y,-z'
'-x,y,z'
'-x,y,-z'
'x,-y,z'
loop_
_atom_site_label
_atom_site_fract_x
_atom_site_fract_y
_atom_site_fract_z
_atom_site_occupancy
Pm1 0.000 0.000 0.000 1
Ho1 0.000 0.500 0.500 1
Ni1 0.000 0.000 0.337 1
Ni2 0.000 0.500 0.170 1
Ni3 0.500 0.000 0.500 1
Ni4 0.500 0.252 0.253 1
Ni5 0.500 0.500 0.000 1
```